Computed, not measured: KSb8Rh2 after structural relaxation at the PBE level of DFT.

Structure (POSCAR):
```
KSb8Rh2
1.0
5.018 -0.951 -1.660
0.002 7.627 -4.396
-3.268 0.693 9.995
K Sb Rh
1 8 2
direct
0.000 0.000 0.000
0.075 0.430 0.860
0.925 0.570 0.140
0.801 0.792 0.583
0.343 0.676 0.798
0.657 0.324 0.202
0.659 0.877 0.202
0.341 0.123 0.798
0.199 0.208 0.417
0.527 0.619 0.239
0.473 0.381 0.761
```

**Formation energy without anion corrections**: -0.07 eV/atom
**Calculated density**: 5.9 Mg/m³
**SG**: P-1, No. 2



Computed, not measured: Sr2HfVBr after structural relaxation at the PBE level of DFT.

Structure (POSCAR):
```
Sr2HfVBr
1.0
-3.448 4.627 1.041
-1.816 -0.353 -4.446
-4.196 -3.576 1.997
V Br Hf Sr
1 1 1 2
direct
0.000 0.500 0.000
0.000 0.000 0.000
0.500 0.500 0.500
0.500 0.000 0.000
0.000 0.000 0.500
```

**Formation energy without anion corrections**: 0.62 eV/atom
**Calculated density**: 4.9 Mg/m³
**SG**: P4/mmm, No. 123



Computed, not measured: YPuCdSn after structural relaxation at the PBE level of DFT.

Structure (POSCAR):
```
YPuCdSn
1.0
5.334 0.000 0.000
2.667 4.619 0.000
2.667 1.540 4.355
Cd Pu Sn Y
1 1 1 1
direct
0.500 0.500 0.500
0.250 0.250 0.250
0.000 0.000 0.000
0.750 0.750 0.750
```

**Calculated density**: 8.7 Mg/m³
**SG**: F-43m, No. 216
**Formation enthalpy at 0 K**: -0.337 eV/atom



Computed, not measured: Co2CuHSe after structural relaxation at the PBE level of DFT.

Structure (POSCAR):
```
Co2CuHSe
1.0
-0.532 0.514 3.775
1.089 -3.318 0.606
3.622 1.251 0.340
Cu Co H Se
1 2 1 1
direct
0.000 0.500 0.000
0.500 0.000 0.000
0.000 0.000 0.500
0.000 0.000 0.000
0.500 0.500 0.500
```

**Calculated density**: 8.3 Mg/m³
**SG**: P4/mmm, No. 123
**Electronic total energy**: -4.785 eV/atom



Computed, not measured: Fe2OsAu after structural relaxation at the PBE level of DFT.

Structure (POSCAR):
```
Fe2OsAu
1.0
-2.050 1.701 3.064
-0.831 -2.437 0.796
3.657 -1.642 3.358
Fe Au Os
2 1 1
direct
0.000 0.182 0.009
0.500 0.057 0.264
0.500 0.798 0.778
0.000 0.463 0.449
```

**Calculated density**: 15.0 Mg/m³
**SG**: Amm2, No. 38
**Energy above the most stable polymorph in this dataset**: 130 meV/atom
**Formation enthalpy at 0 K**: 0.332 eV/atom



Computed, not measured: Pm2Dy3Ho6In after structural relaxation at the PBE level of DFT.

Structure (POSCAR):
```
Pm2Dy3Ho6In
1.0
-5.910 -1.402 -0.222
3.446 -2.066 4.560
-1.641 10.576 4.679
Dy Ho In Pm
3 6 1 2
direct
0.500 0.500 0.500
0.167 0.833 0.500
0.833 0.167 0.500
0.917 0.589 0.751
0.756 0.756 0.250
0.411 0.083 0.249
0.083 0.411 0.249
0.589 0.917 0.751
0.244 0.244 0.750
0.000 0.000 0.000
0.334 0.666 0.000
0.666 0.334 0.000
```

**Calculated density**: 8.5 Mg/m³
**SG**: C2/m, No. 12
**Formation enthalpy at 0 K**: -0.054 eV/atom



Computed, not measured: Cu2TcAu after structural relaxation at the PBE level of DFT.

Structure (POSCAR):
```
Cu2TcAu
1.0
-0.498 2.481 0.941
-1.027 0.704 -2.396
-7.077 -2.312 2.353
Au Cu Tc
1 2 1
direct
0.500 0.500 0.750
0.000 0.000 0.010
0.000 0.000 0.490
0.500 0.500 0.250
```

**Calculated density**: 12.3 Mg/m³
**SG**: P4/mmm, No. 123
**Energy above the most stable polymorph in this dataset**: 0 meV/atom
**Formation enthalpy at 0 K**: 0.163 eV/atom



Computed, not measured: Eu2GdNb after structural relaxation at the PBE level of DFT.

Structure (POSCAR):
```
Eu2GdNb
1.0
-2.203 -2.169 -1.214
1.008 -2.437 -2.019
1.418 -8.786 8.584
Nb Eu Gd
1 2 1
direct
0.000 0.000 0.000
0.081 0.081 0.758
0.919 0.919 0.242
0.500 0.500 0.500
```

**Calculated density**: 7.9 Mg/m³
**SG**: R-3m, No. 166
**Formation enthalpy at 0 K**: 0.702 eV/atom



Computed, not measured: NaSc3Al after structural relaxation at the PBE level of DFT.

Structure (POSCAR):
```
NaSc3Al
1.0
-4.138 -0.447 -2.896
1.023 -4.916 -0.703
-2.746 -1.158 4.102
Na Sc Al
1 3 1
direct
0.000 0.000 0.000
0.000 0.000 0.500
0.500 0.000 0.000
0.000 0.500 0.000
0.500 0.500 0.500
```

**Calculated density**: 2.4 Mg/m³
**SG**: Pm-3m, No. 221
**Energy above the most stable polymorph in this dataset**: 564 meV/atom
**Formation enthalpy at 0 K**: 0.989 eV/atom



Computed, not measured: Ce4PuRh2 after structural relaxation at the PBE level of DFT.

Structure (POSCAR):
```
Ce4PuRh2
1.0
3.531 -0.471 -0.631
-1.237 5.987 -1.096
1.471 1.617 7.131
Ce Rh Pu
4 2 1
direct
0.435 0.871 0.336
0.565 0.129 0.664
0.712 0.431 0.158
0.288 0.569 0.842
0.838 0.673 0.581
0.162 0.327 0.419
0.000 0.000 0.000
```

**Calculated density**: 10.5 Mg/m³
**SG**: P-1, No. 2
**Energy above the most stable polymorph in this dataset**: 25 meV/atom
**Formation enthalpy at 0 K**: -0.329 eV/atom



Computed, not measured: TbPm6Dy3Y2 after structural relaxation at the PBE level of DFT.

Structure (POSCAR):
```
TbPm6Dy3Y2
1.0
-3.531 1.828 4.827
3.298 -5.300 0.371
9.137 7.097 2.650
Y Pm Tb Dy
2 6 1 3
direct
0.333 0.667 0.000
0.667 0.333 0.000
0.916 0.584 0.749
0.249 0.249 0.749
0.584 0.916 0.749
0.416 0.084 0.251
0.751 0.751 0.251
0.084 0.416 0.251
0.000 0.000 0.000
0.833 0.167 0.500
0.167 0.833 0.500
0.500 0.500 0.500
```

**Calculated density**: 7.1 Mg/m³
**SG**: C2/m, No. 12
**Formation enthalpy at 0 K**: 0.011 eV/atom



Computed, not measured: PrNiI after structural relaxation at the PBE level of DFT.

Structure (POSCAR):
```
PrNiI
1.0
-3.363 -0.484 -2.394
0.151 -1.774 3.756
-2.816 11.021 5.292
Ni I Pr
2 2 2
direct
0.330 0.165 0.496
0.670 0.835 0.504
0.556 0.280 0.835
0.444 0.720 0.165
0.898 0.448 0.346
0.102 0.552 0.654
```

**Formation energy without anion corrections**: -0.84 eV/atom
**Calculated density**: 5.9 Mg/m³
**SG**: C2/m, No. 12